A plane-wave DFT calculation with PBE was carried out for an optimized crystal structure of Ta2AgHg.

Structure (CIF):
```
data_Ta2AgHg
_chemical_formula_sum 'Ta4 Ag2 Hg2'
_symmetry_space_group_name_H-M 'C 1 m 1'
_symmetry_Int_Tables_number 8
_cell_length_a 9.650
_cell_length_b 2.965
_cell_length_c 5.335
_cell_angle_alpha 90.00
_cell_angle_beta 99.95
_cell_angle_gamma 90.00
loop_
_symmetry_equiv_pos_as_xyz
'x,y,z'
'x,-y,z'
'x+1/2,y+1/2,z'
'x+1/2,-y+1/2,z'
loop_
_atom_site_label
_atom_site_type_symbol
_atom_site_fract_x
_atom_site_fract_y
_atom_site_fract_z
_atom_site_occupancy
Ta1 Ta 0.000 0.000 0.000 1
Ta2 Ta 0.236 0.500 0.218 1
Ag1 Ag 0.247 0.000 0.734 1
Hg1 Hg 0.491 0.000 0.496 1
```

Results
* electronic total energy: -0.4655 Ry per atom
* DFT formation energy: 8.782 kcal/mol of atoms